Density functional theory data (PBE) for a relaxed YFe2Co crystal.

Summary:
magnetic moment: 1.106 μB/atom
raw total energy: -7.193 eV/atom

Cell: 4.3164 4.3164 15.8545 Å, 90.00 90.00 90.00°
Space group I-42d (No. 122)
Unique sites:
Y  0.0000  0.0000  0.0000 x4
Fe  0.0446  0.7500  0.6250 x8
Co  0.0000  0.0000  0.5000 x4


Density functional theory data (PBE) for a relaxed LaTa4Os crystal.

Summary:
magnetic moment: 0.000 μB/atom
raw total energy: -10.098 eV/atom

Cell: 7.8607 7.8607 7.8607 Å, 90.00 90.00 90.00°
Space group F-43m (No. 216)
Unique sites:
La  0.0000  0.0000  0.0000 x4
Ta  0.1250  0.1250  0.3750 x16
Os  0.2500  0.2500  0.7500 x4


Density functional theory data (PBE) for a relaxed InCuSn crystal.

Summary:
magnetic moment: 0.000 μB/atom
raw total energy: -3.574 eV/atom

Cell: 5.0981 4.1108 6.5371 Å, 90.00 97.69 90.00°
Space group Pm (No. 6)
Unique sites:
In  0.0000  0.0000  0.0000 x1
In  0.1406  0.0000  0.4596 x1
Cu  0.6612  0.0000  0.6297 x1
Cu  0.9612  0.5000  0.6998 x1
Sn  0.4753  0.5000  0.8589 x1
Sn  0.6001  0.5000  0.3432 x1


Density functional theory data (PBE) for a relaxed Mg2TaGaN4 crystal.

Summary:
energy relative to the elements, uncorrected: -0.903 eV/atom
magnetic moment: 0.000 μB/atom

Cell: 6.6740 5.8846 5.2864 Å, 90.00 90.00 90.00°
Space group Pmn2_1 (No. 31)
Unique sites:
Mg  0.2502  0.1674  0.0000 x4
Ta  0.0000  0.3392  0.5052 x2
Ga  0.0000  0.6669  0.0059 x2
N  0.0000  0.3519  0.8732 x2
N  0.0000  0.6500  0.3792 x2
N  0.2481  0.1793  0.4030 x4